First-principles (GGA-PBE) data for a relaxed structure of CePr2Au4, as listed in the Alexandria database.

a = 5.389 Å, b = 5.389 Å, c = 7.603 Å
α = 110.76°, β = 110.76°, γ = 90.00°
Site moments in Bohr magnetons follow the coordinates.
Sites, in units of the cell vectors:
Au 0.884 0.384 0.769  0.01
Au 0.384 0.884 0.769  0.01
Au 0.116 0.616 0.231  0.01
Au 0.616 0.116 0.231  0.01
Pr 0.720 0.720 0.439  0.03
Pr 0.280 0.280 0.561  0.03
Ce 0.000 0.000 0.000  0.85

Density = 10513 kg/m3
Fermi-level density of states = 1.86 states/eV/atom
ΔH_f (0 K) = -574 meV per atom



First-principles (GGA-PBE) data for a relaxed structure of La2MgAl12Ni3, as listed in the Alexandria database.

a = 7.915 Å, b = 7.915 Å, c = 7.915 Å
α = 64.41°, β = 64.41°, γ = 64.41°
Sites, in units of the cell vectors:
Al 0.743 0.743 0.108
Al 0.159 0.543 0.159
Al 0.841 0.457 0.841
Al 0.108 0.743 0.743
Al 0.892 0.257 0.257
Al 0.841 0.841 0.457
Al 0.257 0.257 0.892
Al 0.743 0.108 0.743
Al 0.457 0.841 0.841
Al 0.257 0.892 0.257
Al 0.159 0.159 0.543
Al 0.543 0.159 0.159
Ni 0.000 0.500 0.000
Ni 0.500 0.000 0.000
Ni 0.000 0.000 0.500
La 0.419 0.419 0.419
La 0.581 0.581 0.581
Mg 0.000 0.000 0.000

Density = 3464 kg/m3
Fermi-level density of states = 0.60 states/eV/atom
ΔH_f (0 K) = 22 meV per atom



First-principles (GGA-PBE) data for a relaxed structure of V2PbAu, as listed in the Alexandria database.

a = 7.339 Å, b = 7.339 Å, c = 5.909 Å
α = 51.62°, β = 51.62°, γ = 90.00°
Sites, in units of the cell vectors:
Pb 0.000 0.000 0.000
Pb 0.750 0.250 0.500
Au 0.500 0.500 0.000
Au 0.250 0.750 0.500
V 0.375 0.388 0.750
V 0.612 0.125 0.250
V 0.875 0.862 0.750
V 0.138 0.625 0.250

Density = 11037 kg/m3
Fermi-level density of states = 0.99 states/eV/atom
ΔH_f (0 K) = 663 meV per atom



First-principles (GGA-PBE) data for a relaxed structure of PrZnIn, as listed in the Alexandria database.

a = 3.815 Å, b = 4.774 Å, c = 4.774 Å
α = 120.00°, β = 90.00°, γ = 90.00°
Sites, in units of the cell vectors:
Pr 0.667 0.667 0.333
Zn 0.166 0.333 0.667
In 0.167 0.000 0.000

Density = 7080 kg/m3
Fermi-level density of states = 0.55 states/eV/atom
ΔH_f (0 K) = -440 meV per atom